An optimized crystal structure of K4Au, computed with PBE.

abc: 6.678 8.144 12.403
angles: 88.97 74.39 65.81
Sites, in units of the cell vectors:
Au 0.946 0.538 0.109
Au 0.701 0.288 0.846
K 0.452 0.537 0.098
K 0.074 0.160 0.230
K 0.698 0.789 0.353
K 0.324 0.413 0.475
K 0.949 0.035 0.603
K 0.572 0.666 0.726
K 0.194 0.291 0.856
K 0.819 0.918 0.982

Results
The space-group type is P1. Its electronic total energy is -1.6515 eV per atom.